VASP calculation (meta-GGA SCAN) on a crystal of ScCr2Fe relaxed with PBEsol.

Values from the calculation:
Fermi-level density of states: 2.31 states/eV per cell
DFT formation energy: 175 meV per atom
volume: 51 Å³ per cell
energy relative to the lowest polymorph listed for this composition: 0 meV/atom

Lattice parameters (Å, degrees): 4.1525 4.1525 4.1525 60.00 60.00 60.00
With the nearest neighbours (Å) after each atom.
Positions (direct):
1 Fe 0.5000 0.5000 0.5000  4 Cr 2.54, 4 Sc 2.54
2 Sc 0.7500 0.7500 0.7500  4 Cr 2.54, 4 Fe 2.54
3 Cr 0.0000 0.0000 0.0000  4 Cr 2.54, 4 Sc 2.54
4 Cr 0.2500 0.2500 0.2500  4 Cr 2.54, 4 Fe 2.54